(1)
Entry from the Open Quantum Materials Database: a relaxed structure of Nd2TmMg3Pt2Au (PBE-GGA).

The structure in CIF format:
```
data_Nd2TmMg3Pt2Au
_cell_length_a 4.083
_cell_length_b 13.005
_cell_length_c 7.568
_cell_angle_alpha 90.00
_cell_angle_beta 90.00
_cell_angle_gamma 90.00
_space_group_name_H-M_alt 'A m m 2'
_space_group_IT_number 38
loop_
_space_group_symop_operation_xyz
'x,y,z'
'-x,-y,z'
'-x,y,z'
'x,-y,z'
'x,y+1/2,z+1/2'
'-x,-y+1/2,z+1/2'
'-x,y+1/2,z+1/2'
'x,-y+1/2,z+1/2'
loop_
_atom_site_label
_atom_site_type_symbol
_atom_site_fract_x
_atom_site_fract_y
_atom_site_fract_z
Nd1 Nd 0.000 0.209 0.000
Tm1 Tm 0.000 0.000 0.623
Mg1 Mg 0.500 0.000 0.957
Mg2 Mg 0.500 0.122 0.335
Pt1 Pt 0.500 0.160 0.705
Au1 Au 0.000 0.000 0.216
```

* VASP energy: -41.551 eV per formula unit
* calculated volume: 22.3 Å³/atom

(2)
Entry from the Open Quantum Materials Database: a relaxed structure of NdTm2Mg3Pt2Au (PBE-GGA).

The structure in CIF format:
```
data_NdTm2Mg3Pt2Au
_cell_length_a 4.055
_cell_length_b 13.001
_cell_length_c 7.439
_cell_angle_alpha 90.00
_cell_angle_beta 90.00
_cell_angle_gamma 90.00
_space_group_name_H-M_alt 'A m m 2'
_space_group_IT_number 38
loop_
_space_group_symop_operation_xyz
'x,y,z'
'-x,-y,z'
'-x,y,z'
'x,-y,z'
'x,y+1/2,z+1/2'
'-x,-y+1/2,z+1/2'
'-x,y+1/2,z+1/2'
'x,-y+1/2,z+1/2'
loop_
_atom_site_label
_atom_site_type_symbol
_atom_site_fract_x
_atom_site_fract_y
_atom_site_fract_z
Nd1 Nd 0.000 0.000 0.000
Tm1 Tm 0.000 0.208 0.626
Mg1 Mg 0.500 0.000 0.666
Mg2 Mg 0.500 0.127 0.296
Pt1 Pt 0.500 0.172 0.916
Au1 Au 0.000 0.000 0.426
```

* VASP energy: -41.427 eV per formula unit
* calculated volume: 21.8 Å³/atom

(3)
Entry from the Open Quantum Materials Database: a relaxed structure of NdMgAuSe2S (PBE-GGA).

The structure in CIF format:
```
data_NdMgAuSe2S
_cell_length_a 3.923
_cell_length_b 13.158
_cell_length_c 10.743
_cell_angle_alpha 90.00
_cell_angle_beta 90.00
_cell_angle_gamma 90.00
_space_group_name_H-M_alt 'C m c m'
_space_group_IT_number 63
_space_group_name_Hall '-C 2c 2'
loop_
_atom_site_label
_atom_site_type_symbol
_atom_site_fract_x
_atom_site_fract_y
_atom_site_fract_z
Nd1 Nd 0.000 0.000 0.000
Mg1 Mg 0.000 0.244 0.250
Au1 Au 0.000 0.481 0.750
Se1 Se 0.000 0.342 0.576
S1 S 0.000 0.111 0.750
```

* VASP energy: -27.003 eV per formula unit
* calculated volume: 23.1 Å³/atom

(4)
Entry from the Open Quantum Materials Database: a relaxed structure of NdMgAuSeS2 (PBE-GGA).

The structure in CIF format:
```
data_NdMgAuSeS2
_cell_length_a 3.834
_cell_length_b 13.117
_cell_length_c 10.869
_cell_angle_alpha 90.00
_cell_angle_beta 90.00
_cell_angle_gamma 90.00
_space_group_name_H-M_alt 'C m c m'
_space_group_IT_number 63
_space_group_name_Hall '-C 2c 2'
loop_
_atom_site_label
_atom_site_type_symbol
_atom_site_fract_x
_atom_site_fract_y
_atom_site_fract_z
Nd1 Nd 0.000 0.000 0.000
Mg1 Mg 0.000 0.211 0.250
Au1 Au 0.000 0.481 0.750
Se1 Se 0.000 0.124 0.750
S1 S 0.000 0.353 0.580
```

* VASP energy: -27.896 eV per formula unit
* calculated volume: 22.8 Å³/atom

(5)
Entry from the Open Quantum Materials Database: a relaxed structure of NdMgTe2AuS (PBE-GGA).

The structure in CIF format:
```
data_NdMgTe2AuS
_cell_length_a 4.129
_cell_length_b 14.118
_cell_length_c 10.739
_cell_angle_alpha 90.00
_cell_angle_beta 90.00
_cell_angle_gamma 90.00
_space_group_name_H-M_alt 'C m c m'
_space_group_IT_number 63
_space_group_name_Hall '-C 2c 2'
loop_
_atom_site_label
_atom_site_type_symbol
_atom_site_fract_x
_atom_site_fract_y
_atom_site_fract_z
Nd1 Nd 0.000 0.000 0.000
Mg1 Mg 0.000 0.280 0.250
Te1 Te 0.000 0.338 0.573
Au1 Au 0.000 0.479 0.750
S1 S 0.000 0.099 0.750
```

* VASP energy: -25.069 eV per formula unit
* calculated volume: 26.1 Å³/atom

(6)
Entry from the Open Quantum Materials Database: a relaxed structure of NdMgTeAuS2 (PBE-GGA).

The structure in CIF format:
```
data_NdMgTeAuS2
_cell_length_a 3.887
_cell_length_b 13.778
_cell_length_c 11.115
_cell_angle_alpha 90.00
_cell_angle_beta 90.00
_cell_angle_gamma 90.00
_space_group_name_H-M_alt 'C m c m'
_space_group_IT_number 63
_space_group_name_Hall '-C 2c 2'
loop_
_atom_site_label
_atom_site_type_symbol
_atom_site_fract_x
_atom_site_fract_y
_atom_site_fract_z
Nd1 Nd 0.000 0.000 0.000
Mg1 Mg 0.000 0.190 0.250
Te1 Te 0.000 0.132 0.750
Au1 Au 0.000 0.486 0.750
S1 S 0.000 0.362 0.583
```

* VASP energy: -27.106 eV per formula unit
* calculated volume: 24.8 Å³/atom

(7)
Entry from the Open Quantum Materials Database: a relaxed structure of NdMgTeAuSe2 (PBE-GGA).

The structure in CIF format:
```
data_NdMgTeAuSe2
_cell_length_a 3.981
_cell_length_b 13.907
_cell_length_c 11.194
_cell_angle_alpha 90.00
_cell_angle_beta 90.00
_cell_angle_gamma 90.00
_space_group_name_H-M_alt 'C m c m'
_space_group_IT_number 63
_space_group_name_Hall '-C 2c 2'
loop_
_atom_site_label
_atom_site_type_symbol
_atom_site_fract_x
_atom_site_fract_y
_atom_site_fract_z
Nd1 Nd 0.000 0.000 0.000
Mg1 Mg 0.000 0.195 0.250
Te1 Te 0.000 0.122 0.750
Au1 Au 0.000 0.480 0.750
Se1 Se 0.000 0.352 0.575
```

* VASP energy: -25.635 eV per formula unit
* calculated volume: 25.8 Å³/atom

(8)
Entry from the Open Quantum Materials Database: a relaxed structure of SrNdMg4Au2 (PBE-GGA).

The structure in CIF format:
```
data_SrNdMg4Au2
_cell_length_a 6.069
_cell_length_b 5.691
_cell_length_c 17.485
_cell_angle_alpha 90.00
_cell_angle_beta 90.00
_cell_angle_gamma 90.00
_space_group_name_H-M_alt 'A m m 2'
_space_group_IT_number 38
loop_
_space_group_symop_operation_xyz
'x,y,z'
'-x,-y,z'
'-x,y,z'
'x,-y,z'
'x,y+1/2,z+1/2'
'-x,-y+1/2,z+1/2'
'-x,y+1/2,z+1/2'
'x,-y+1/2,z+1/2'
loop_
_atom_site_label
_atom_site_type_symbol
_atom_site_fract_x
_atom_site_fract_y
_atom_site_fract_z
Sr1 Sr 0.000 0.000 0.000
Nd1 Nd 0.000 0.000 0.753
Mg1 Mg 0.263 0.000 0.300
Mg2 Mg 0.266 0.000 0.464
Au1 Au 0.000 0.000 0.179
Au2 Au 0.000 0.000 0.585
```

* VASP energy: -17.590 eV per formula unit
* calculated volume: 37.7 Å³/atom